This record from the Alexandria database describes crystalline Co2ReSb at its relaxed geometry. The functional is PBE-GGA.

The structure in extended XYZ format:
```
4
Lattice="-2.818 1.496 -2.914 -0.183 -1.773 -3.936 -3.412 -2.397 -1.134" Properties=species:S:1:pos:R:3 pbc="T T T"
Co 0.000 0.000 0.000
Co -1.603 -0.668 -1.996
Re -3.207 -1.337 -3.992
Sb -4.810 -2.005 -5.988
```

## Properties
Uncorrected formation energy: 1.58 eV/f.u.

=====

This record from the Alexandria database describes crystalline CoRe2Sb at its relaxed geometry. The functional is PBE-GGA.

The structure in extended XYZ format:
```
4
Lattice="3.039 0.000 0.000 0.000 3.039 0.000 0.000 0.000 6.778" Properties=species:S:1:pos:R:3 pbc="T T T"
Co 1.519 1.519 5.163
Re 0.000 0.000 6.749
Re 1.519 1.519 1.509
Sb 0.000 0.000 3.524
```

## Properties
Uncorrected formation energy: 1.41 eV/f.u.

=====

This record from the Alexandria database describes crystalline CoRe2Sb at its relaxed geometry. The functional is PBE-GGA.

The structure in extended XYZ format:
```
4
Lattice="-2.424 4.193 -2.001 -3.747 -0.810 -3.573 1.551 -1.002 4.904" Properties=species:S:1:pos:R:3 pbc="T T T"
Co -1.979 2.441 0.058
Re -0.050 0.028 -0.045
Re -3.035 1.664 -2.742
Sb -2.641 -0.060 -0.728
```

## Properties
Uncorrected formation energy: 2.35 eV/f.u.

=====

This record from the Alexandria database describes crystalline CoRe2Sb at its relaxed geometry. The functional is PBE-GGA.

The structure in extended XYZ format:
```
4
Lattice="8.677 0.000 0.000 8.189 2.870 0.000 8.189 1.394 2.509" Properties=species:S:1:pos:R:3 pbc="T T T"
Co 18.765 3.193 1.879
Re 0.058 0.010 0.006
Re 6.365 1.083 0.637
Sb 12.395 2.109 1.241
```

## Properties
Uncorrected formation energy: 1.79 eV/f.u.

=====

This record from the Alexandria database describes crystalline Co2ReSb at its relaxed geometry. The functional is PBE-GGA.

The structure in extended XYZ format:
```
4
Lattice="-4.154 7.122 -1.215 -4.992 5.652 -3.549 -6.364 5.280 -1.040" Properties=species:S:1:pos:R:3 pbc="T T T"
Co -15.475 18.012 -5.790
Co -7.791 9.069 -2.915
Re -3.878 4.514 -1.451
Sb -11.633 13.541 -4.353
```

## Properties
Uncorrected formation energy: 1.86 eV/f.u.

=====

This record from the Alexandria database describes crystalline CoRe2Sb at its relaxed geometry. The functional is PBE-GGA.

The structure in extended XYZ format:
```
4
Lattice="4.723 0.004 0.000 1.344 4.528 0.000 -3.034 -2.266 2.823" Properties=species:S:1:pos:R:3 pbc="T T T"
Co 2.361 0.002 1.411
Re 0.000 0.000 0.000
Re 0.672 2.264 1.411
Sb 3.034 2.266 0.000
```

## Properties
Uncorrected formation energy: 1.74 eV/f.u.

=====

This record from the Alexandria database describes crystalline CoRe2Sb at its relaxed geometry. The functional is PBE-GGA.

The structure in extended XYZ format:
```
4
Lattice="-0.870 2.284 2.891 1.559 -1.723 1.830 6.047 1.347 0.754" Properties=species:S:1:pos:R:3 pbc="T T T"
Co 5.252 0.857 3.381
Re 1.626 -1.708 1.838
Re 1.310 0.959 2.114
Sb 3.911 -0.112 1.264
```

## Properties
Uncorrected formation energy: 1.57 eV/f.u.

=====

This record from the Alexandria database describes crystalline Co2ReSb at its relaxed geometry. The functional is PBE-GGA.

The structure in extended XYZ format:
```
4
Lattice="-2.962 2.481 -2.270 -0.999 1.379 -4.146 -3.047 -3.312 -1.243" Properties=species:S:1:pos:R:3 pbc="T T T"
Co -3.017 -3.235 -1.257
Co -5.232 0.446 -5.739
Re -3.642 0.036 -3.833
Sb -1.669 0.262 -1.901
```

## Properties
Uncorrected formation energy: 1.21 eV/f.u.